## TcTePt (meta-GGA SCAN)

Data for a PBEsol-optimized structure of TcTePt.

Computed properties:
- Volume: 17.4 Å³ per atom
- Symmetry: No. 156
- Energy: -47.1647 eV/atom
- E_form (uncorrected): 97 kJ/mol of formula units

abc: 3.279 4.288 4.288
angles: 120.00 90.00 90.00
Fractional coordinates of all 3 atoms:
Pt 0.037 0.000 0.000
Tc 0.566 0.333 0.667
Te 0.397 0.667 0.333

=====

## Li2FeO2F (meta-GGA SCAN)

Data for a PBEsol-optimized structure of Li2FeO2F.

Computed properties:
- Volume: 8.1 Å³ per atom
- Symmetry: No. 62
- Energy: -8.7402 eV/atom
- E_form (uncorrected): -1305 kJ/mol of formula units

abc: 3.978 5.700 8.605
angles: 90.00 90.00 90.00
Site moments in Bohr magnetons follow the coordinates.
Fractional coordinates of all 24 atoms:
Li 0.750 0.860 0.252  0.00
Li 0.750 0.360 0.248  0.00
Li 0.250 0.640 0.752  0.00
Li 0.250 0.140 0.748  0.00
Li 0.750 0.884 0.582  0.00
Li 0.750 0.384 0.918  0.00
Li 0.250 0.616 0.082  0.00
Li 0.250 0.116 0.418  0.00
Fe 0.750 0.393 0.602  4.08
Fe 0.250 0.607 0.398  4.08
Fe 0.750 0.893 0.898  4.08
Fe 0.250 0.107 0.102  4.08
O 0.750 0.607 0.422  0.30
O 0.750 0.107 0.078  0.30
O 0.250 0.893 0.922  0.30
O 0.250 0.393 0.578  0.30
O 0.750 0.648 0.755  0.30
O 0.750 0.148 0.745  0.30
O 0.250 0.852 0.255  0.30
O 0.250 0.352 0.245  0.30
F 0.750 0.619 0.080  0.04
F 0.750 0.119 0.420  0.04
F 0.250 0.881 0.580  0.04
F 0.250 0.381 0.920  0.04

=====

## Sc2ZnPt (meta-GGA SCAN)

Data for a PBEsol-optimized structure of Sc2ZnPt.

Computed properties:
- Volume: 17.4 Å³ per atom
- Symmetry: No. 25
- Energy: -29.0680 eV/atom
- Formation enthalpy at 0 K: -1.022 eV per atom

abc: 3.281 4.610 4.610
angles: 90.00 90.00 90.00
Fractional coordinates of all 4 atoms:
Sc 0.000 0.000 0.124
Sc 0.000 0.500 0.626
Zn 0.500 0.000 0.624
Pt 0.500 0.500 0.126

=====

## Ca2ZrW (meta-GGA SCAN)

Data for a PBEsol-optimized structure of Ca2ZrW.

Computed properties:
- Volume: 25.8 Å³ per atom
- Symmetry: No. 44
- Energy: -29.2346 eV/atom
- Formation enthalpy at 0 K: 0.694 eV per atom

abc: 3.310 5.776 6.334
angles: 117.13 105.15 90.00
Fractional coordinates of all 4 atoms:
Ca 0.990 0.990 0.980
Ca 0.785 0.285 0.571
Zr 0.203 0.703 0.405
W 0.522 0.522 0.044

=====

## Sr3Ni (meta-GGA SCAN)

Data for a PBEsol-optimized structure of Sr3Ni.

Computed properties:
- Volume: 37.6 Å³ per atom
- Symmetry: No. 44
- Energy: -20.6002 eV/atom
- Formation enthalpy at 0 K: 0.150 eV per atom

abc: 3.974 6.919 6.769
angles: 120.74 107.07 90.00
Fractional coordinates of all 4 atoms:
Ni 0.000 0.947 0.000
Sr 0.500 0.639 0.000
Sr 0.325 0.949 0.650
Sr 0.675 0.299 0.350

=====

## InGa2Te2 (meta-GGA SCAN)

Data for a PBEsol-optimized structure of InGa2Te2.

Computed properties:
- Volume: 25.9 Å³ per atom
- Symmetry: No. 139
- Energy: -28.2051 eV/atom
- E_form (uncorrected): -43 kJ/mol of formula units

abc: 5.409 5.850 5.409
angles: 62.46 90.00 117.54
Fractional coordinates of all 5 atoms:
Te 0.750 0.500 0.750
Te 0.250 0.500 0.250
Ga 0.642 0.284 0.358
Ga 0.358 0.716 0.642
In 0.000 0.000 0.000

=====

## TeAsI2F (meta-GGA SCAN)

Data for a PBEsol-optimized structure of TeAsI2F.

Computed properties:
- Volume: 26.6 Å³ per atom
- Symmetry: No. 123
- Energy: -26.5179 eV/atom
- E_form (uncorrected): 181 kJ/mol of formula units

abc: 4.169 5.647 5.647
angles: 90.00 90.00 90.00
Site moments in Bohr magnetons follow the coordinates.
Fractional coordinates of all 5 atoms:
I 0.000 0.000 0.500  -0.09
I 0.000 0.500 0.000  -0.09
As 0.500 0.500 0.500  0.10
Te 0.500 0.000 0.000  -0.39
F 0.000 0.000 0.000  -0.01

=====

## KMnPd2 (meta-GGA SCAN)

Data for a PBEsol-optimized structure of KMnPd2.

Computed properties:
- Volume: 17.9 Å³ per atom
- Symmetry: No. 225
- Energy: -22.8578 eV/atom
- Formation enthalpy at 0 K: 0.175 eV per atom

abc: 4.658 4.658 4.658
angles: 60.00 60.00 60.00
Site moments in Bohr magnetons follow the coordinates.
Fractional coordinates of all 4 atoms:
K 0.000 0.000 0.000  -0.01
Mn 0.500 0.500 0.500  4.32
Pd 0.250 0.250 0.250  0.11
Pd 0.750 0.750 0.750  0.11

=====

## CrCoNi2 (meta-GGA SCAN)

Data for a PBEsol-optimized structure of CrCoNi2.

Computed properties:
- Volume: 10.4 Å³ per atom
- Symmetry: No. 99
- Energy: -16.9112 eV/atom
- Formation enthalpy at 0 K: 0.098 eV per atom

abc: 2.427 2.427 7.051
angles: 90.00 90.00 90.00
Site moments in Bohr magnetons follow the coordinates.
Fractional coordinates of all 4 atoms:
Ni 0.000 0.000 0.999  0.39
Ni 0.500 0.500 0.253  0.69
Co 0.000 0.000 0.500  1.52
Cr 0.500 0.500 0.747  -0.12

=====

## RuSI2 (meta-GGA SCAN)

Data for a PBEsol-optimized structure of RuSI2.

Computed properties:
- Volume: 25.8 Å³ per atom
- Symmetry: No. 122
- Energy: -28.7414 eV/atom
- E_form (uncorrected): 287 kJ/mol of formula units

abc: 6.483 6.483 6.483
angles: 100.85 113.95 113.95
Fractional coordinates of all 8 atoms:
I 0.042 0.667 0.125
I 0.958 0.083 0.625
I 0.542 0.875 0.917
I 0.458 0.375 0.333
Ru 0.500 0.750 0.250
Ru 0.000 0.000 0.000
S 0.500 0.250 0.750
S 0.000 0.500 0.500

=====

## BeMoBr2 (meta-GGA SCAN)

Data for a PBEsol-optimized structure of BeMoBr2.

Computed properties:
- Volume: 20.1 Å³ per atom
- Symmetry: No. 35
- Energy: -19.2958 eV/atom
- E_form (uncorrected): 94 kJ/mol of formula units

abc: 3.183 3.254 8.904
angles: 90.00 90.00 119.28
Site moments in Bohr magnetons follow the coordinates.
Fractional coordinates of all 4 atoms:
Be 0.500 0.000 0.747  0.01
Mo 0.000 0.000 0.529  1.40
Br 0.000 0.000 0.912  0.03
Br 0.500 0.000 0.312  0.03

=====

## Na6MnO4 (meta-GGA SCAN)

Data for a PBEsol-optimized structure of Na6MnO4.

Computed properties:
- Volume: 13.5 Å³ per atom
- Symmetry: No. 186
- Energy: -7.7386 eV/atom
- E_form (uncorrected): -1607 kJ/mol of formula units

abc: 5.869 7.648 7.648
angles: 120.00 90.00 90.00
Site moments in Bohr magnetons follow the coordinates.
Fractional coordinates of all 22 atoms:
Na 0.858 0.461 0.539  0.00
Na 0.358 0.539 0.077  0.00
Na 0.858 0.077 0.539  0.00
Na 0.858 0.461 0.923  0.00
Na 0.358 0.923 0.461  0.00
Na 0.358 0.539 0.461  0.00
Na 0.026 0.861 0.721  0.01
Na 0.526 0.721 0.861  0.01
Na 0.526 0.139 0.861  0.01
Na 0.526 0.139 0.279  0.01
Na 0.026 0.279 0.139  0.01
Na 0.026 0.861 0.139  0.01
Mn 0.254 0.333 0.667  4.30
Mn 0.754 0.667 0.333  4.30
O 0.591 0.333 0.667  0.07
O 0.091 0.667 0.333  0.07
O 0.637 0.810 0.621  0.07
O 0.137 0.621 0.810  0.07
O 0.137 0.190 0.810  0.07
O 0.637 0.810 0.190  0.07
O 0.637 0.379 0.190  0.07
O 0.137 0.190 0.379  0.07